P | Computed, not measured: a relaxed GdAsPdO crystal at the GGA-PBE level of DFT.

## Properties
V: 19.5 Å³ per atom

```
data_GdAsPdO
_cell_length_a 5.8037
_cell_length_b 5.8037
_cell_length_c 4.6410
_cell_angle_alpha 90.00
_cell_angle_beta 90.00
_cell_angle_gamma 90.00
_symmetry_space_group_name_H-M 'P 4/n m m'
_symmetry_Int_Tables_number 129
loop_
_symmetry_equiv_pos_as_xyz
'x,y,z'
'-x,-y,-z'
'-y+1/2,x,z'
'y+1/2,-x,-z'
'-x+1/2,-y+1/2,z'
'x+1/2,y+1/2,-z'
'y,-x+1/2,z'
'-y,x+1/2,-z'
'x+1/2,-y,-z'
'-x+1/2,y,z'
'-y,-x,-z'
'y,x,z'
'-x,y+1/2,-z'
'x,-y+1/2,z'
'y+1/2,x+1/2,-z'
'-y+1/2,-x+1/2,z'
loop_
_atom_site_label
_atom_site_type_symbol
_atom_site_fract_x
_atom_site_fract_y
_atom_site_fract_z
Gd1 Gd 0.2500 0.7500 0.0000
As1 As 0.2500 0.2500 0.0051
Pd1 Pd 0.2500 0.2500 0.5050
O1 O 0.2500 0.7500 0.5000
```

=====

Q | Computed, not measured: a relaxed GdAsPdO crystal at the GGA-PBE level of DFT.

## Properties
V: 17.2 Å³ per atom

```
data_GdAsPdO
_cell_length_a 4.6539
_cell_length_b 4.3921
_cell_length_c 6.7457
_cell_angle_alpha 90.00
_cell_angle_beta 90.00
_cell_angle_gamma 90.00
_symmetry_space_group_name_H-M 'P m c 21'
_symmetry_Int_Tables_number 26
_symmetry_space_group_name_Hall 'P 2c -2'
loop_
_atom_site_label
_atom_site_type_symbol
_atom_site_fract_x
_atom_site_fract_y
_atom_site_fract_z
Gd1 Gd 0.0000 0.2071 0.0000
As1 As 0.5000 0.1683 0.6949
Pd1 Pd 0.5000 0.3355 0.3500
O1 O 0.0000 0.3126 0.3423
```

=====

Quick look at relative energies in kJ/mol of atoms: P 45.3; Q 0.0.

=====

P | Computed, not measured: a relaxed GdAsPtO crystal at the GGA-PBE level of DFT.

## Properties
V: 17.5 Å³ per atom

```
data_GdAsPtO
_cell_length_a 4.6766
_cell_length_b 3.9189
_cell_length_c 7.6516
_cell_angle_alpha 90.00
_cell_angle_beta 90.00
_cell_angle_gamma 90.00
_symmetry_space_group_name_H-M 'P m c 21'
_symmetry_Int_Tables_number 26
_symmetry_space_group_name_Hall 'P 2c -2'
loop_
_atom_site_label
_atom_site_type_symbol
_atom_site_fract_x
_atom_site_fract_y
_atom_site_fract_z
Gd1 Gd 0.0000 0.2504 0.0000
As1 As 0.5000 0.2483 0.6277
Pt1 Pt 0.5000 0.2515 0.3134
O1 O 0.0000 0.2504 0.3244
```

=====

Q | Computed, not measured: a relaxed GdAsPtO crystal at the GGA-PBE level of DFT.

## Properties
V: 19.2 Å³ per atom

```
data_GdAsPtO
_cell_length_a 3.5733
_cell_length_b 7.7756
_cell_length_c 5.5320
_cell_angle_alpha 90.00
_cell_angle_beta 90.00
_cell_angle_gamma 90.00
_symmetry_space_group_name_H-M 'P m c 21'
_symmetry_Int_Tables_number 26
_symmetry_space_group_name_Hall 'P 2c -2'
loop_
_atom_site_label
_atom_site_type_symbol
_atom_site_fract_x
_atom_site_fract_y
_atom_site_fract_z
Gd1 Gd 0.0000 0.1898 0.0000
As1 As 0.0000 0.4293 0.4928
Pt1 Pt 0.5000 0.2222 0.5313
O1 O 0.5000 0.0538 0.1009
```

=====

R | Computed, not measured: a relaxed GdAsPtO crystal at the GGA-PBE level of DFT.

## Properties
V: 20.1 Å³ per atom

```
data_GdAsPtO
_cell_length_a 5.9744
_cell_length_b 5.9744
_cell_length_c 4.5156
_cell_angle_alpha 90.00
_cell_angle_beta 90.00
_cell_angle_gamma 90.00
_symmetry_space_group_name_H-M 'P 4/n m m'
_symmetry_Int_Tables_number 129
loop_
_symmetry_equiv_pos_as_xyz
'x,y,z'
'-x,-y,-z'
'-y+1/2,x,z'
'y+1/2,-x,-z'
'-x+1/2,-y+1/2,z'
'x+1/2,y+1/2,-z'
'y,-x+1/2,z'
'-y,x+1/2,-z'
'x+1/2,-y,-z'
'-x+1/2,y,z'
'-y,-x,-z'
'y,x,z'
'-x,y+1/2,-z'
'x,-y+1/2,z'
'y+1/2,x+1/2,-z'
'-y+1/2,-x+1/2,z'
loop_
_atom_site_label
_atom_site_type_symbol
_atom_site_fract_x
_atom_site_fract_y
_atom_site_fract_z
Gd1 Gd 0.2500 0.7500 0.0000
As1 As 0.2500 0.2500 0.4968
Pt1 Pt 0.2500 0.2500 0.9968
O1 O 0.2500 0.7500 0.5000
```

=====

S | Computed, not measured: a relaxed GdAsPtO crystal at the GGA-PBE level of DFT.

## Properties
V: 17.2 Å³ per atom

```
data_GdAsPtO
_cell_length_a 4.1755
_cell_length_b 4.1755
_cell_length_c 7.8820
_cell_angle_alpha 90.00
_cell_angle_beta 90.00
_cell_angle_gamma 90.00
_symmetry_space_group_name_H-M 'P 4/n m m'
_symmetry_Int_Tables_number 129
loop_
_symmetry_equiv_pos_as_xyz
'x,y,z'
'-x,-y,-z'
'-y+1/2,x,z'
'y+1/2,-x,-z'
'-x+1/2,-y+1/2,z'
'x+1/2,y+1/2,-z'
'y,-x+1/2,z'
'-y,x+1/2,-z'
'x+1/2,-y,-z'
'-x+1/2,y,z'
'-y,-x,-z'
'y,x,z'
'-x,y+1/2,-z'
'x,-y+1/2,z'
'y+1/2,x+1/2,-z'
'-y+1/2,-x+1/2,z'
loop_
_atom_site_label
_atom_site_type_symbol
_atom_site_fract_x
_atom_site_fract_y
_atom_site_fract_z
Gd1 Gd 0.2500 0.2500 0.1300
As1 As 0.2500 0.2500 0.6769
Pt1 Pt 0.2500 0.7500 0.5000
O1 O 0.2500 0.7500 0.0000
```

=====

Quick look at relative energies in kJ/mol of atoms: P 38.8; Q 43.2; R 62.5; S 0.0.